Entry 1:
Here is a relaxed Cs2Hf3Se8 crystal from the Alexandria database. Energies are from PBE-GGA.

a = 18.348 Å, b = 7.655 Å, c = 6.652 Å
α = 90.00°, β = 105.46°, γ = 90.00°
Space group C2/m (No. 12)
Inequivalent atoms, fractional coordinates:
Cs  0.244  0.000  0.190 [4 per cell]
Hf  0.000  0.242  0.500 [4 per cell]
Hf  0.000  0.500  0.000 [2 per cell]
Se  0.088  0.500  0.393 [4 per cell]
Se  0.089  0.000  0.417 [4 per cell]
Se  0.089  0.268  0.888 [8 per cell]

Summary:
Raw formation energy ... -1.181 eV/atom
M_tot ... 0.0 μB/f.u.

---

Entry 2:
Here is a relaxed Cs2HfSiSe crystal from the Alexandria database. Energies are from PBE-GGA.

a = 7.144 Å, b = 7.144 Å, c = 4.941 Å
α = 90.00°, β = 90.00°, γ = 90.00°
Space group P4/mmm (No. 123)
Inequivalent atoms, fractional coordinates:
Cs  0.000  0.500  0.000 [2 per cell]
Hf  0.000  0.000  0.000 [1 per cell]
Si  0.000  0.000  0.500 [1 per cell]
Se  0.500  0.500  0.500 [1 per cell]

Summary:
Raw formation energy ... 0.712 eV/atom
M_tot ... 0.8 μB/f.u.

---

Entry 3:
Here is a relaxed Cs3Sm2HfSe6 crystal from the Alexandria database. Energies are from PBE-GGA.

a = 7.289 Å, b = 12.624 Å, c = 8.742 Å
α = 90.00°, β = 106.18°, γ = 90.00°
Space group C2/m (No. 12)
Inequivalent atoms, fractional coordinates:
Cs  0.000  0.000  0.000 [2 per cell]
Cs  0.000  0.328  0.000 [4 per cell]
Sm  0.000  0.166  0.500 [4 per cell]
Hf  0.000  0.500  0.500 [2 per cell]
Se  0.218  0.344  0.686 [8 per cell]
Se  0.248  0.500  0.312 [4 per cell]

Summary:
Raw formation energy ... -1.544 eV/atom
M_tot ... 0.0 μB/f.u.

---

Entry 4:
Here is a relaxed Cs4Sm3HfSe8 crystal from the Alexandria database. Energies are from PBE-GGA.

a = 14.708 Å, b = 8.487 Å, c = 9.729 Å
α = 90.00°, β = 120.31°, γ = 90.00°
Space group C2/m (No. 12)
Inequivalent atoms, fractional coordinates:
Cs  0.000  0.000  0.000 [2 per cell]
Cs  0.000  0.500  0.000 [2 per cell]
Cs  0.250  0.250  0.000 [4 per cell]
Sm  0.000  0.000  0.500 [2 per cell]
Sm  0.250  0.250  0.500 [4 per cell]
Hf  0.000  0.500  0.500 [2 per cell]
Se  0.016  0.266  0.316 [8 per cell]
Se  0.218  0.500  0.685 [4 per cell]
Se  0.231  0.000  0.693 [4 per cell]

Summary:
Raw formation energy ... -1.586 eV/atom
M_tot ... 0.0 μB/f.u.

---

Entry 5:
Here is a relaxed Cs2HfSnSe5 crystal from the Alexandria database. Energies are from PBE-GGA.

a = 4.075 Å, b = 21.285 Å, c = 15.400 Å
α = 90.00°, β = 90.00°, γ = 90.00°
Space group Cmc2_1 (No. 36)
Inequivalent atoms, fractional coordinates:
Cs  0.000  0.133  0.000 [4 per cell]
Cs  0.000  0.134  0.364 [4 per cell]
Hf  0.000  0.210  0.708 [4 per cell]
Sn  0.000  0.431  0.104 [4 per cell]
Se  0.000  0.065  0.713 [4 per cell]
Se  0.000  0.304  0.318 [4 per cell]
Se  0.000  0.310  0.081 [4 per cell]
Se  0.000  0.323  0.683 [4 per cell]
Se  0.000  0.492  0.969 [4 per cell]

Summary:
Raw formation energy ... -1.022 eV/atom
M_tot ... 0.0 μB/f.u.

---

Entry 6:
Here is a relaxed Cs2HfSnSe crystal from the Alexandria database. Energies are from PBE-GGA.

a = 6.887 Å, b = 6.887 Å, c = 5.051 Å
α = 90.00°, β = 90.00°, γ = 90.00°
Space group P4/mmm (No. 123)
Inequivalent atoms, fractional coordinates:
Cs  0.000  0.500  0.000 [2 per cell]
Hf  0.000  0.000  0.500 [1 per cell]
Sn  0.500  0.500  0.500 [1 per cell]
Se  0.000  0.000  0.000 [1 per cell]

Summary:
Raw formation energy ... 0.187 eV/atom
M_tot ... 0.6 μB/f.u.

---

Entry 7:
Here is a relaxed CsSr2HfSe crystal from the Alexandria database. Energies are from PBE-GGA.

a = 6.674 Å, b = 6.674 Å, c = 5.217 Å
α = 90.00°, β = 90.00°, γ = 90.00°
Space group P4/mmm (No. 123)
Inequivalent atoms, fractional coordinates:
Cs  0.000  0.000  0.000 [1 per cell]
Sr  0.000  0.500  0.500 [2 per cell]
Hf  0.500  0.500  0.500 [1 per cell]
Se  0.500  0.500  0.000 [1 per cell]

Summary:
Raw formation energy ... 0.136 eV/atom
M_tot ... 0.0 μB/f.u.

---

Entry 8:
Here is a relaxed Cs3Sr2HfSe6 crystal from the Alexandria database. Energies are from PBE-GGA.

a = 7.655 Å, b = 13.244 Å, c = 8.680 Å
α = 90.00°, β = 107.15°, γ = 90.00°
Space group C2/m (No. 12)
Inequivalent atoms, fractional coordinates:
Cs  0.000  0.000  0.000 [2 per cell]
Cs  0.000  0.326  0.000 [4 per cell]
Sr  0.000  0.166  0.500 [4 per cell]
Hf  0.000  0.500  0.500 [2 per cell]
Se  0.209  0.353  0.686 [8 per cell]
Se  0.229  0.500  0.311 [4 per cell]

Summary:
Raw formation energy ... -1.445 eV/atom
M_tot ... 0.0 μB/f.u.

---

Q: Among the records above, which one has the highest raw formation energy?
A: Cs2HfSiSe